Record 1
First-principles (PBE-GGA) data for Tb5Ho2Ru5 after structural relaxation, as listed in Alexandria.

Values from the calculation:
energy relative to the elements: -209 meV per atom
symmetry: C2/m
final energy: -6.766 eV/atom

a b c (Å): 4.8422 4.8422 13.4975
angles (deg): 79.74 79.74 59.94
Fractional coordinates of all 12 atoms:
Tb  0.5000  0.5000  0.5000
Tb  0.3093  0.3093  0.0720
Tb  0.2157  0.2157  0.3530
Tb  0.7843  0.7843  0.6470
Tb  0.6907  0.6907  0.9280
Ho  0.0717  0.0717  0.7840
Ho  0.9283  0.9283  0.2160
Ru  0.8550  0.8550  0.4349
Ru  0.3848  0.3848  0.8453
Ru  0.6152  0.6152  0.1547
Ru  0.1450  0.1450  0.5651
Ru  0.0000  0.0000  0.0000



Record 2
First-principles (PBE-GGA) data for MoRuRh2 after structural relaxation, as listed in Alexandria.

Values from the calculation:
energy relative to the lowest polymorph listed for this composition: 0.224 eV per atom
energy relative to the elements: 15 meV per atom
symmetry: R-3m
final energy: -8.687 eV/atom

a b c (Å): 9.0633 9.0633 9.0633
angles (deg): 17.39 17.39 17.39
Fractional coordinates of all 4 atoms:
Mo  0.7500  0.7500  0.7500
Rh  0.9992  0.9992  0.9992
Rh  0.5008  0.5008  0.5008
Ru  0.2500  0.2500  0.2500



Record 3
First-principles (PBE-GGA) data for KCd2Tc after structural relaxation, as listed in Alexandria.

Values from the calculation:
energy relative to the lowest polymorph listed for this composition: 0.151 eV per atom
energy relative to the elements: 646 meV per atom
symmetry: R3m
final energy: -2.677 eV/atom

a b c (Å): 11.3304 11.3304 11.3304
angles (deg): 15.14 15.14 15.14
Fractional coordinates of all 4 atoms:
Cd  0.0065  0.0065  0.0065
Cd  0.2566  0.2566  0.2566
K  0.4944  0.4944  0.4944
Tc  0.7425  0.7425  0.7425



Record 4
First-principles (PBE-GGA) data for YMn2Al after structural relaxation, as listed in Alexandria.

Values from the calculation:
energy relative to the elements: 77 meV per atom
symmetry: P4/mmm
final energy: -7.059 eV/atom

a b c (Å): 3.1766 3.1766 6.9604
angles (deg): 90.00 90.00 90.00
Last column: magnetic moment on the atom in μB.
Fractional coordinates of all 4 atoms:
Y  0.5000  0.5000  0.2500  -0.28
Mn  0.0000  0.0000  0.9516  3.03
Mn  0.0000  0.0000  0.5484  3.03
Al  0.5000  0.5000  0.7500  -0.07



Record 5
First-principles (PBE-GGA) data for ZrBeP2N6 after structural relaxation, as listed in Alexandria.

Values from the calculation:
symmetry: C2/c
final energy: -7.964 eV/atom
formation energy without anion corrections: -0.659 eV per atom

a b c (Å): 5.3588 6.7354 6.7354
angles (deg): 93.31 71.46 71.46
Fractional coordinates of all 20 atoms:
Zr  0.2500  0.8802  0.1198
Zr  0.7500  0.1198  0.8802
Be  0.2500  0.1836  0.8164
Be  0.7500  0.8164  0.1836
P  0.3711  0.7574  0.5794
P  0.1289  0.4206  0.2426
P  0.6289  0.2426  0.4206
P  0.8711  0.5794  0.7574
N  0.2067  0.9287  0.7934
N  0.2933  0.2066  0.0713
N  0.7933  0.0713  0.2066
N  0.7067  0.7934  0.9287
N  0.4352  0.8275  0.3538
N  0.0648  0.6462  0.1725
N  0.5648  0.1725  0.6462
N  0.9352  0.3538  0.8275
N  0.1820  0.5908  0.5856
N  0.3180  0.4144  0.4092
N  0.8180  0.4092  0.4144
N  0.6820  0.5856  0.5908



Record 6
First-principles (PBE-GGA) data for H6W after structural relaxation, as listed in Alexandria.

Values from the calculation:
symmetry: C2/m
final energy: -4.549 eV/atom

a b c (Å): 5.9832 5.9832 8.2287
angles (deg): 62.36 62.36 29.07
Fractional coordinates of all 14 atoms:
H  0.4631  0.4631  0.0228
H  0.5369  0.5369  0.9772
H  0.4559  0.4559  0.6359
H  0.5441  0.5441  0.3641
H  0.8244  0.8244  0.6591
H  0.1756  0.1756  0.3409
H  0.0442  0.0442  0.6166
H  0.9558  0.9558  0.3834
H  0.2779  0.2779  0.7452
H  0.7221  0.7221  0.2548
H  0.8233  0.8233  0.3700
H  0.1767  0.1767  0.6300
W  0.6437  0.6437  0.4877
W  0.3563  0.3563  0.5123



Record 7
First-principles (PBE-GGA) data for Na2Tl8Zn after structural relaxation, as listed in Alexandria.

Values from the calculation:
energy relative to the lowest polymorph listed for this composition: 0.009 eV per atom
energy relative to the elements: -21 meV per atom
symmetry: C2/m
final energy: -2.098 eV/atom

a b c (Å): 5.4097 6.6677 9.1251
angles (deg): 93.02 107.24 90.00
Fractional coordinates of all 11 atoms:
Na  0.8484  0.8223  0.6968
Na  0.1516  0.1777  0.3032
Tl  0.4126  0.5784  0.8253
Tl  0.6614  0.8963  0.3228
Tl  0.7758  0.3443  0.5517
Tl  0.0363  0.7447  0.0725
Tl  0.2242  0.6557  0.4483
Tl  0.3386  0.1037  0.6772
Tl  0.5874  0.4216  0.1747
Tl  0.9637  0.2553  0.9275
Zn  0.5000  0.0000  0.0000



Record 8
First-principles (PBE-GGA) data for AcCuPO4 after structural relaxation, as listed in Alexandria.

Values from the calculation:
symmetry: Imma
final energy: -6.933 eV/atom
formation energy without anion corrections: -2.154 eV per atom

a b c (Å): 5.5646 6.6693 6.6693
angles (deg): 79.85 65.34 65.34
Fractional coordinates of all 14 atoms:
Ac  0.0000  0.0000  0.0000
Ac  0.0000  0.5000  0.5000
Cu  0.5000  0.0000  0.5000
Cu  0.0000  0.0000  0.5000
P  0.6178  0.6322  0.1322
P  0.3822  0.3678  0.8678
O  0.7093  0.6951  0.8862
O  0.2907  0.6138  0.8049
O  0.7093  0.3862  0.1951
O  0.2907  0.3049  0.1138
O  0.2794  0.7408  0.2408
O  0.7391  0.7408  0.2408
O  0.2609  0.2592  0.7592
O  0.7206  0.2592  0.7592